Compound: SrPmCdSn
Source: Alexandria
Functional: GGA-PBE
Structure: relaxed

Cell: 5.552 5.552 5.552 Å, 60.00 60.00 60.00°
Positions (direct):
Sr  0.750  0.750  0.750
Sn  0.000  0.000  0.000
Cd  0.500  0.500  0.500
Pm  0.250  0.250  0.250

Computed properties:
The calculation puts the energy of formation from the pure elements at -0.47 eV/atom. The calculation puts the size of the total moment at 0.00 μB per cell. As for the symmetry: F-43m, No. 216. The raw total energy is -0.243 Ry per atom.

---

Compound: TbPm2Cd2Sn2
Source: Alexandria
Functional: GGA-PBE
Structure: relaxed

Cell: 4.991 4.991 9.416 Å, 74.63 74.63 60.00°
Positions (direct):
Cd  0.415  0.415  0.754
Cd  0.585  0.585  0.246
Sn  0.730  0.730  0.809
Sn  0.270  0.270  0.191
Tb  0.000  0.000  0.000
Pm  0.131  0.131  0.607
Pm  0.869  0.869  0.393

Computed properties:
The calculation puts the energy of formation from the pure elements at -0.31 eV/atom. The calculation puts the size of the total moment at 0.00 μB per cell. As for the symmetry: R-3m, No. 166. The raw total energy is -0.275 Ry per atom.

---

Compound: PmTiCdSn
Source: Alexandria
Functional: GGA-PBE
Structure: relaxed

Cell: 5.132 5.132 5.132 Å, 60.00 60.00 60.00°
Each line ends with the local moment (μB).
Positions (direct):
Pm  0.000  0.000  0.000  0.07
Sn  0.750  0.750  0.750  -0.03
Cd  0.250  0.250  0.250  -0.01
Ti  0.500  0.500  0.500  1.17

Computed properties:
The calculation puts the energy of formation from the pure elements at -0.20 eV/atom. The calculation puts the size of the total moment at 1.59 μB per cell. As for the symmetry: F-43m, No. 216. The raw total energy is -0.338 Ry per atom.

---

Compound: PmTmCdSn
Source: Alexandria
Functional: GGA-PBE
Structure: relaxed

Cell: 5.318 5.318 5.318 Å, 60.00 60.00 60.00°
Positions (direct):
Pm  0.500  0.500  0.500
Sn  0.250  0.250  0.250
Tm  0.000  0.000  0.000
Cd  0.750  0.750  0.750

Computed properties:
The calculation puts the energy of formation from the pure elements at -0.49 eV/atom. The calculation puts the size of the total moment at 0.00 μB per cell. As for the symmetry: F-43m, No. 216. The raw total energy is -0.296 Ry per atom.

---

Compound: PmYCdSn
Source: Alexandria
Functional: GGA-PBE
Structure: relaxed

Cell: 5.351 5.351 5.351 Å, 60.00 60.00 60.00°
Positions (direct):
Cd  0.750  0.750  0.750
Sn  0.250  0.250  0.250
Pm  0.500  0.500  0.500
Y  0.000  0.000  0.000

Computed properties:
The calculation puts the energy of formation from the pure elements at -0.53 eV/atom. The calculation puts the size of the total moment at 0.00 μB per cell. As for the symmetry: F-43m, No. 216. The raw total energy is -0.336 Ry per atom.

---

Compound: PmZnCdSn
Source: Alexandria
Functional: GGA-PBE
Structure: relaxed

Cell: 5.158 5.158 5.158 Å, 60.00 60.00 60.00°
Positions (direct):
Sn  0.000  0.000  0.000
Zn  0.500  0.500  0.500
Pm  0.250  0.250  0.250
Cd  0.750  0.750  0.750

Computed properties:
The calculation puts the energy of formation from the pure elements at -0.22 eV/atom. The calculation puts the size of the total moment at 0.00 μB per cell. As for the symmetry: F-43m, No. 216. The raw total energy is -0.217 Ry per atom.

---

Compound: PmZrCdSn
Source: Alexandria
Functional: GGA-PBE
Structure: relaxed

Cell: 5.206 5.206 5.206 Å, 60.00 60.00 60.00°
Each line ends with the local moment (μB).
Positions (direct):
Cd  0.250  0.250  0.250  0.00
Sn  0.750  0.750  0.750  0.00
Zr  0.000  0.000  0.000  0.24
Pm  0.500  0.500  0.500  0.04

Computed properties:
The calculation puts the energy of formation from the pure elements at -0.30 eV/atom. The calculation puts the size of the total moment at 0.46 μB per cell. As for the symmetry: F-43m, No. 216. The raw total energy is -0.357 Ry per atom.

---

Compound: SrPm2Cd
Source: Alexandria
Functional: GGA-PBE
Structure: relaxed

Cell: 5.166 5.069 5.069 Å, 90.00 90.00 90.00°
Positions (direct):
Pm  0.000  0.500  0.000
Pm  0.000  0.000  0.500
Cd  0.500  0.000  0.000
Sr  0.500  0.500  0.500

Computed properties:
The calculation puts the energy of formation from the pure elements at 0.02 eV/atom. For the distance to the lowest polymorph of the same formula, the calculation gives 0.29 eV per formula unit. The calculation puts the size of the total moment at 0.00 μB per cell. As for the symmetry: P4/mmm, No. 123. The raw total energy is -0.221 Ry per atom.

---

Compound: SrPm2Cd3
Source: Alexandria
Functional: GGA-PBE
Structure: relaxed

Cell: 3.877 3.877 11.870 Å, 90.00 90.00 90.00°
Positions (direct):
Cd  0.000  0.000  0.000
Cd  0.000  0.000  0.686
Cd  0.000  0.000  0.314
Sr  0.500  0.500  0.500
Pm  0.500  0.500  0.159
Pm  0.500  0.500  0.841

Computed properties:
The calculation puts the energy of formation from the pure elements at -0.32 eV/atom. The calculation puts the size of the total moment at 0.00 μB per cell. As for the symmetry: P4/mmm, No. 123. The raw total energy is -0.194 Ry per atom.

---

Compound: SrPmCd2
Source: Alexandria
Functional: GGA-PBE
Structure: relaxed

Cell: 3.947 3.947 7.854 Å, 90.00 90.00 90.00°
Each line ends with the local moment (μB).
Positions (direct):
Pm  0.500  0.500  0.000  0.07
Sr  0.500  0.500  0.500  0.00
Cd  0.000  0.000  0.775  0.00
Cd  0.000  0.000  0.225  0.00

Computed properties:
The calculation puts the energy of formation from the pure elements at -0.32 eV/atom. The calculation puts the size of the total moment at 0.14 μB per cell. As for the symmetry: P4/mmm, No. 123. The raw total energy is -0.175 Ry per atom.

---

Compound: SrPm2Cd
Source: Alexandria
Functional: GGA-PBE
Structure: relaxed

Cell: 3.885 3.885 9.488 Å, 90.00 90.00 90.00°
Positions (direct):
Pm  0.000  0.000  0.809
Pm  0.000  0.000  0.191
Sr  0.500  0.500  0.500
Cd  0.500  0.500  0.000

Computed properties:
The calculation puts the energy of formation from the pure elements at -0.05 eV/atom. For the distance to the lowest polymorph of the same formula, the calculation gives 0.00 eV per formula unit. The calculation puts the size of the total moment at 0.00 μB per cell. As for the symmetry: P4/mmm, No. 123. The raw total energy is -0.226 Ry per atom.

---

Compound: SrPmCd4
Source: Alexandria
Functional: GGA-PBE
Structure: relaxed

Cell: 4.270 4.325 10.529 Å, 89.97 89.99 90.00°
Positions (direct):
Cd  0.501  0.997  0.734
Cd  0.001  0.497  0.264
Cd  0.001  0.497  0.732
Cd  0.501  0.997  0.262
Pm  0.001  0.997  0.498
Sr  0.501  0.497  0.998

Computed properties:
The calculation puts the energy of formation from the pure elements at -0.05 eV/atom. For the distance to the lowest polymorph of the same formula, the calculation gives 1.32 eV per formula unit. The calculation puts the size of the total moment at 0.00 μB per cell. As for the symmetry: Pmmm, No. 47. The raw total energy is -0.128 Ry per atom.

---

Compound: Sr2PmCd
Source: Alexandria
Functional: GGA-PBE
Structure: relaxed

Cell: 3.851 3.851 10.249 Å, 90.00 90.00 90.00°
Positions (direct):
Sr  0.000  0.000  0.213
Sr  0.000  0.000  0.787
Pm  0.500  0.500  0.500
Cd  0.500  0.500  0.000

Computed properties:
The calculation puts the energy of formation from the pure elements at -0.03 eV/atom. For the distance to the lowest polymorph of the same formula, the calculation gives 0.00 eV per formula unit. The calculation puts the size of the total moment at 0.00 μB per cell. As for the symmetry: P4/mmm, No. 123. The raw total energy is -0.168 Ry per atom.